First-principles (PBE-GGA) data for a relaxed structure of KPb4F10, as listed in the Alexandria database.

a = 15.367 Å, b = 15.367 Å, c = 15.367 Å
α = 164.33°, β = 164.33°, γ = 22.23°
Fractional positions:
K1 0.000 0.000 0.000
Pb1 0.200 0.200 0.000
Pb2 0.402 0.402 0.000
Pb3 0.598 0.598 0.000
Pb4 0.800 0.800 0.000
F1 0.059 0.559 0.500
F2 0.150 0.650 0.500
F3 0.250 0.750 0.500
F4 0.350 0.850 0.500
F5 0.441 0.941 0.500
F6 0.559 0.059 0.500
F7 0.650 0.150 0.500
F8 0.750 0.250 0.500
F9 0.850 0.350 0.500
F10 0.941 0.441 0.500

Results
- Raw total energy: -4.672 eV per atom
- Magnetization: 0.00 μB/cell
- Space group: No. 139
- Formation energy without anion corrections: -2363 meV per atom